[1]
DFT (PBE-GGA) results for crystalline CdIn3Hg8 at its relaxed geometry.

The structure in POSCAR format:
```
CdIn3Hg8
1.0
10.2681 0.0000 -1.4111
-6.6173 3.2862 5.6409
-2.9665 0.0000 9.8706
Hg In Cd
8 3 1
Direct
0.2342 0.0000 0.2603 Hg
0.1907 0.5026 0.8133 Hg
0.6882 0.4974 0.3159 Hg
0.7434 0.0000 0.7697 Hg
0.5661 0.0000 0.9390 Hg
0.0152 0.5082 0.9813 Hg
0.0577 0.0000 0.4305 Hg
0.5071 0.4918 0.4895 Hg
0.1504 0.5000 0.3485 In
0.6504 0.5000 0.8485 In
0.5981 0.0000 0.4022 In
0.0988 0.0000 0.9013 Cd
```

Total DFT energy (no corrections), Ry per atom: -0.06944
Crystal system: monoclinic
Space group: Cm, No. 8

---

[2]
DFT (PBE-GGA) results for crystalline Cd3In2Hg4 at its relaxed geometry.

The structure in POSCAR format:
```
Cd3In2Hg4
1.0
-1.4259 1.8872 -2.4058
-3.4402 -0.5208 -0.7351
-6.2829 14.1920 14.8566
In Cd Hg
2 3 4
Direct
0.6663 0.6674 0.2239 In
0.3337 0.3326 0.7761 In
0.3286 0.3429 0.4462 Cd
0.6714 0.6571 0.5538 Cd
0.0000 0.0000 0.0000 Cd
0.6597 0.6806 0.8906 Hg
0.3403 0.3194 0.1094 Hg
0.0057 0.9886 0.6620 Hg
0.9943 0.0114 0.3380 Hg
```

ΔE to the lowest computed polymorph, meV/atom: 0
Crystal system: monoclinic
Space group: C2/m, No. 12

---

[3]
DFT (PBE-GGA) results for crystalline Cd2In7Hg3 at its relaxed geometry.

The structure in POSCAR format:
```
Cd2In7Hg3
1.0
4.6403 -0.0285 -0.7042
-0.1877 4.5138 -1.2389
-0.3876 -3.1724 15.7911
Hg In Cd
3 7 2
Direct
0.5000 0.5000 0.0000 Hg
0.6658 0.0025 0.3347 Hg
0.3342 0.9975 0.6653 Hg
0.4144 0.7420 0.8276 In
0.7504 0.7503 0.5007 In
0.9168 0.2424 0.8286 In
0.2496 0.2497 0.4993 In
0.5856 0.2580 0.1724 In
0.0832 0.7576 0.1714 In
0.0000 0.0000 0.0000 In
0.8317 0.4927 0.6625 Cd
0.1683 0.5073 0.3375 Cd
```

Total DFT energy (no corrections), Ry per atom: -0.13323
Crystal system: triclinic
Space group: P-1, No. 2

---

[4]
DFT (PBE-GGA) results for crystalline Cd12InHg6 at its relaxed geometry.

The structure in POSCAR format:
```
Cd12InHg6
1.0
-6.5517 0.2852 -4.7346
0.0874 -7.5553 2.8864
-1.9107 4.5861 6.3827
Cd Hg In
12 6 1
Direct
0.9580 0.7297 0.2290 Cd
0.7710 0.0420 0.2703 Cd
0.5469 0.6114 0.1920 Cd
0.8080 0.4531 0.3886 Cd
0.3886 0.8080 0.4531 Cd
0.2703 0.7710 0.0420 Cd
0.4531 0.3886 0.8080 Cd
0.0420 0.2703 0.7710 Cd
0.6114 0.1920 0.5469 Cd
0.1920 0.5469 0.6114 Cd
0.2290 0.9580 0.7297 Cd
0.7297 0.2290 0.9580 Cd
0.1407 0.4274 0.1977 Hg
0.5726 0.8023 0.8593 Hg
0.1977 0.1407 0.4274 Hg
0.8023 0.8593 0.5726 Hg
0.4274 0.1977 0.1407 Hg
0.8593 0.5726 0.8023 Hg
0.0000 0.0000 0.0000 In
```

ΔE to the lowest computed polymorph, meV/atom: 6
Crystal system: trigonal
Space group: R-3, No. 148

---

[5]
DFT (PBE-GGA) results for crystalline Cd5In8Hg at its relaxed geometry.

The structure in POSCAR format:
```
Cd5In8Hg
1.0
7.4546 0.4528 -2.4165
-3.8266 6.4135 -2.4165
-0.2392 -0.4528 7.8328
In Cd Hg
8 5 1
Direct
0.9921 0.7661 0.1031 In
0.1832 0.6060 0.7985 In
0.8075 0.3847 0.2015 In
0.3940 0.1925 0.5772 In
0.6153 0.8168 0.4228 In
0.2339 0.3370 0.2260 In
0.6630 0.8889 0.8969 In
0.1111 0.0079 0.7740 In
0.4641 0.0479 0.1936 Cd
0.7295 0.5359 0.5838 Cd
0.9521 0.1457 0.4162 Cd
0.5000 0.5000 0.0000 Cd
0.8543 0.2705 0.8064 Cd
0.2500 0.7500 0.5000 Hg
```

ΔE to the lowest computed polymorph, meV/atom: 3
Crystal system: tetragonal
Space group: I-4, No. 82

---

[6]
DFT (PBE-GGA) results for crystalline CdIn2Hg at its relaxed geometry.

The structure in POSCAR format:
```
CdIn2Hg
1.0
-3.6597 -2.9482 1.7244
0.3945 -2.0752 -2.7108
4.2044 -4.0174 2.0545
In Hg Cd
2 1 1
Direct
0.0000 0.9921 0.9603 In
0.5000 0.2612 0.2892 In
0.5000 0.5833 0.7756 Hg
0.0000 0.6634 0.4749 Cd
```

ΔE to the lowest computed polymorph, meV/atom: 20
Crystal system: monoclinic
Space group: Pm, No. 6

---

[7]
DFT (PBE-GGA) results for crystalline Cd16In6Hg7 at its relaxed geometry.

The structure in POSCAR format:
```
Cd16In6Hg7
1.0
8.7429 0.0000 5.0477
2.9143 8.2429 5.0477
0.0000 0.0000 10.0955
Hg Cd In
7 16 6
Direct
0.5000 0.0000 0.0000 Hg
0.5000 0.5000 0.5000 Hg
0.0000 0.5000 0.5000 Hg
0.5000 0.0000 0.5000 Hg
0.0000 0.5000 0.0000 Hg
0.0000 0.0000 0.5000 Hg
0.5000 0.5000 0.0000 Hg
0.1639 0.5082 0.1639 Cd
0.5082 0.1639 0.1639 Cd
0.8361 0.8361 0.4918 Cd
0.4918 0.8361 0.8361 Cd
0.3816 0.3816 0.8551 Cd
0.6184 0.1449 0.6184 Cd
0.1449 0.6184 0.6184 Cd
0.3816 0.8551 0.3816 Cd
0.6184 0.6184 0.6184 Cd
0.6184 0.6184 0.1449 Cd
0.1639 0.1639 0.5082 Cd
0.8551 0.3816 0.3816 Cd
0.1639 0.1639 0.1639 Cd
0.8361 0.4918 0.8361 Cd
0.3816 0.3816 0.3816 Cd
0.8361 0.8361 0.8361 Cd
0.1764 0.1764 0.8236 In
0.1764 0.8236 0.8236 In
0.8236 0.1764 0.8236 In
0.8236 0.8236 0.1764 In
0.1764 0.8236 0.1764 In
0.8236 0.1764 0.1764 In
```

Total DFT energy (no corrections), Ry per atom: -0.07978
Crystal system: cubic
Space group: Fm-3m, No. 225

---

[8]
DFT (PBE-GGA) results for crystalline Cd6In3Hg2 at its relaxed geometry.

The structure in POSCAR format:
```
Cd6In3Hg2
1.0
4.6334 0.2417 0.3350
0.2697 4.6317 0.3335
-0.9048 -0.8990 13.2092
In Cd Hg
3 6 2
Direct
0.0010 0.0008 0.6763 In
0.9990 0.9992 0.3237 In
0.0000 0.0000 0.0000 In
0.4990 0.9980 0.1443 Cd
0.0021 0.5009 0.8557 Cd
0.2783 0.2783 0.5001 Cd
0.7217 0.7217 0.4999 Cd
0.5010 0.0020 0.8557 Cd
0.9979 0.4991 0.1443 Cd
0.4983 0.4985 0.3016 Hg
0.5017 0.5015 0.6984 Hg
```

Total DFT energy (no corrections), Ry per atom: -0.09190
Crystal system: monoclinic
Space group: C2/m, No. 12

---

[9]
DFT (PBE-GGA) results for crystalline Cd3InHg2 at its relaxed geometry.

The structure in POSCAR format:
```
Cd3InHg2
1.0
-3.1077 -0.5705 3.9008
-3.4676 -0.2945 -2.8057
1.6052 -12.9872 -0.6206
Cd In Hg
6 2 4
Direct
0.5000 0.5003 0.0000 Cd
0.0000 0.4997 0.8300 Cd
0.5000 0.5003 0.6700 Cd
0.0000 0.4997 0.1700 Cd
0.0000 0.4997 0.5000 Cd
0.5000 0.5003 0.3300 Cd
0.5000 0.0003 0.5000 In
0.0000 0.9997 0.0000 In
0.0000 0.9996 0.6654 Hg
0.5000 0.0004 0.8346 Hg
0.0000 0.9996 0.3346 Hg
0.5000 0.0004 0.1654 Hg
```

ΔE to the lowest computed polymorph, meV/atom: 12
Crystal system: orthorhombic
Space group: Cmmm, No. 65

---

[10]
DFT (PBE-GGA) results for crystalline Cd12InHg16 at its relaxed geometry.

The structure in POSCAR format:
```
Cd12InHg16
1.0
9.3191 -0.0930 -3.7386
-4.6823 8.0580 -3.7386
-0.2954 -0.5075 10.2571
Cd Hg In
12 16 1
Direct
0.8356 0.6388 0.6698 Cd
0.7907 0.2145 0.7865 Cd
0.1825 0.3739 0.9691 Cd
0.6337 0.6337 0.8559 Cd
0.6388 0.8356 0.6698 Cd
0.8262 0.8262 0.2635 Cd
0.3541 0.9968 0.1639 Cd
0.9968 0.3541 0.1639 Cd
0.2145 0.7907 0.7865 Cd
0.1835 0.9798 0.3571 Cd
0.3739 0.1825 0.9691 Cd
0.9798 0.1835 0.3571 Cd
0.4241 0.0115 0.6812 Hg
0.5522 0.2986 0.5651 Hg
0.9718 0.9718 0.0203 Hg
0.4337 0.6927 0.0203 Hg
0.6850 0.0333 0.4174 Hg
0.9799 0.9799 0.6721 Hg
0.2918 0.2918 0.7019 Hg
0.3355 0.7256 0.3178 Hg
0.7256 0.3355 0.3178 Hg
0.0333 0.6850 0.4174 Hg
0.0017 0.6314 0.9995 Hg
0.3181 0.3181 0.2703 Hg
0.6927 0.4337 0.0203 Hg
0.2986 0.5522 0.5651 Hg
0.6314 0.0017 0.9995 Hg
0.0115 0.4241 0.6812 Hg
0.6032 0.6032 0.3203 In
```

Total DFT energy (no corrections), Ry per atom: -0.04508
Crystal system: monoclinic
Space group: Cm, No. 8

---

[11]
DFT (PBE-GGA) results for crystalline Cd2In9Hg4 at its relaxed geometry.

The structure in POSCAR format:
```
Cd2In9Hg4
1.0
7.1259 2.1937 0.3641
-1.6788 2.9370 -0.0274
-0.6401 -0.4635 16.1970
In Hg Cd
9 4 2
Direct
0.0280 0.0273 0.1026 In
0.3112 0.6575 0.6022 In
0.9584 0.9774 0.7016 In
0.6888 0.3425 0.3978 In
0.0000 0.0000 0.5000 In
0.0416 0.0226 0.2984 In
0.3180 0.6586 0.9893 In
0.6820 0.3414 0.0107 In
0.9720 0.9727 0.8974 In
0.3348 0.6673 0.4045 Hg
0.6652 0.3327 0.5955 Hg
0.3668 0.6822 0.1948 Hg
0.6332 0.3178 0.8052 Hg
0.7139 0.3583 0.2047 Cd
0.2861 0.6417 0.7953 Cd
```

Total DFT energy (no corrections), Ry per atom: -0.13376
Crystal system: triclinic
Space group: P-1, No. 2

---

[12]
DFT (PBE-GGA) results for crystalline Cd4In3Hg5 at its relaxed geometry.

The structure in POSCAR format:
```
Cd4In3Hg5
1.0
-5.8692 1.4081 1.1731
2.7244 -6.9005 -0.8658
-0.5313 -1.3007 8.4025
In Hg Cd
3 5 4
Direct
0.2390 0.4842 0.5017 In
0.5000 0.0000 0.5000 In
0.7610 0.5158 0.4983 In
0.0000 0.0000 0.5000 Hg
0.6823 0.3324 0.1600 Hg
0.3177 0.6676 0.8400 Hg
0.5902 0.8062 0.1672 Hg
0.4098 0.1938 0.8328 Hg
0.8439 0.7010 0.8432 Cd
0.8741 0.1528 0.8451 Cd
0.1561 0.2990 0.1568 Cd
0.1259 0.8472 0.1549 Cd
```

ΔE to the lowest computed polymorph, meV/atom: 0
Crystal system: triclinic
Space group: P-1, No. 2

---

What did the seventh record say?
DFT (PBE-GGA) results for crystalline Cd16In6Hg7 at its relaxed geometry.

The structure in POSCAR format:
```
Cd16In6Hg7
1.0
8.7429 0.0000 5.0477
2.9143 8.2429 5.0477
0.0000 0.0000 10.0955
Hg Cd In
7 16 6
Direct
0.5000 0.0000 0.0000 Hg
0.5000 0.5000 0.5000 Hg
0.0000 0.5000 0.5000 Hg
0.5000 0.0000 0.5000 Hg
0.0000 0.5000 0.0000 Hg
0.0000 0.0000 0.5000 Hg
0.5000 0.5000 0.0000 Hg
0.1639 0.5082 0.1639 Cd
0.5082 0.1639 0.1639 Cd
0.8361 0.8361 0.4918 Cd
0.4918 0.8361 0.8361 Cd
0.3816 0.3816 0.8551 Cd
0.6184 0.1449 0.6184 Cd
0.1449 0.6184 0.6184 Cd
0.3816 0.8551 0.3816 Cd
0.6184 0.6184 0.6184 Cd
0.6184 0.6184 0.1449 Cd
0.1639 0.1639 0.5082 Cd
0.8551 0.3816 0.3816 Cd
0.1639 0.1639 0.1639 Cd
0.8361 0.4918 0.8361 Cd
0.3816 0.3816 0.3816 Cd
0.8361 0.8361 0.8361 Cd
0.1764 0.1764 0.8236 In
0.1764 0.8236 0.8236 In
0.8236 0.1764 0.8236 In
0.8236 0.8236 0.1764 In
0.1764 0.8236 0.1764 In
0.8236 0.1764 0.1764 In
```

Total DFT energy (no corrections), Ry per atom: -0.07978
Crystal system: cubic
Space group: Fm-3m, No. 225